# PBE AgTe2Os, relaxed
# crystal system: cubic
# raw formation energy: 1.103 eV/atom
# offset from the most stable computed form: 881 meV per atom
# uncorrected energy: -63.81 eV per cell
data_AgTe2Os
_chemical_formula_sum 'Ag4 Te8 Os4'
_space_group_name_H-M_alt 'F -4 3 m'
_space_group_IT_number 216
_space_group_name_Hall 'F -4 2 3'
_cell_length_a 6.963
_cell_length_b 6.963
_cell_length_c 6.963
_cell_angle_alpha 90.00
_cell_angle_beta 90.00
_cell_angle_gamma 90.00
loop_
_atom_site_label
_atom_site_type_symbol
_atom_site_fract_x
_atom_site_fract_y
_atom_site_fract_z
Ag1 Ag 0.000 0.000 0.000
Te1 Te 0.000 0.000 0.500
Te2 Te 0.250 0.250 0.250
Os1 Os 0.250 0.250 0.750